DFT (PBE) results for an optimized crystal structure of Pu3Ni5S12.

abc: 12.254 12.254 12.254
angles: 109.47 109.47 109.47
Fractional coordinates of all 80 atoms:
1 Pu 0.125 0.250 0.375
2 Pu 0.125 0.375 0.750
3 Pu 0.250 0.375 0.125
4 Pu 0.250 0.875 0.625
5 Pu 0.375 0.125 0.250
6 Pu 0.375 0.750 0.125
7 Pu 0.625 0.250 0.875
8 Pu 0.625 0.875 0.750
9 Pu 0.750 0.125 0.375
10 Pu 0.750 0.625 0.875
11 Pu 0.875 0.625 0.250
12 Pu 0.875 0.750 0.625
13 Ni 0.000 0.000 0.000
14 Ni 0.000 0.000 0.500
15 Ni 0.000 0.500 0.000
16 Ni 0.000 0.500 0.500
17 Ni 0.125 0.750 0.875
18 Ni 0.125 0.875 0.250
19 Ni 0.250 0.125 0.875
20 Ni 0.250 0.625 0.375
21 Ni 0.375 0.250 0.625
22 Ni 0.375 0.625 0.750
23 Ni 0.500 0.000 0.000
24 Ni 0.500 0.000 0.500
25 Ni 0.500 0.500 0.000
26 Ni 0.500 0.500 0.500
27 Ni 0.625 0.375 0.250
28 Ni 0.625 0.750 0.375
29 Ni 0.750 0.375 0.625
30 Ni 0.750 0.875 0.125
31 Ni 0.875 0.125 0.750
32 Ni 0.875 0.250 0.125
33 S 0.033 0.209 0.121
34 S 0.033 0.324 0.912
35 S 0.088 0.621 0.412
36 S 0.088 0.709 0.676
37 S 0.088 0.879 0.412
38 S 0.088 0.967 0.676
39 S 0.121 0.033 0.209
40 S 0.121 0.588 0.912
41 S 0.176 0.209 0.588
42 S 0.176 0.467 0.588
43 S 0.209 0.121 0.033
44 S 0.209 0.588 0.176
45 S 0.291 0.324 0.912
46 S 0.291 0.467 0.379
47 S 0.324 0.912 0.033
48 S 0.324 0.912 0.291
49 S 0.379 0.291 0.467
50 S 0.379 0.588 0.912
51 S 0.412 0.088 0.621
52 S 0.412 0.088 0.879
53 S 0.412 0.824 0.533
54 S 0.412 0.824 0.791
55 S 0.467 0.379 0.291
56 S 0.467 0.588 0.176
57 S 0.533 0.412 0.824
58 S 0.533 0.621 0.709
59 S 0.588 0.176 0.209
60 S 0.588 0.176 0.467
61 S 0.588 0.912 0.121
62 S 0.588 0.912 0.379
63 S 0.621 0.412 0.088
64 S 0.621 0.709 0.533
65 S 0.676 0.088 0.709
66 S 0.676 0.088 0.967
67 S 0.709 0.533 0.621
68 S 0.709 0.676 0.088
69 S 0.791 0.412 0.824
70 S 0.791 0.879 0.967
71 S 0.824 0.533 0.412
72 S 0.824 0.791 0.412
73 S 0.879 0.412 0.088
74 S 0.879 0.967 0.791
75 S 0.912 0.033 0.324
76 S 0.912 0.121 0.588
77 S 0.912 0.291 0.324
78 S 0.912 0.379 0.588
79 S 0.967 0.676 0.088
80 S 0.967 0.791 0.879

Calculated values
E_form (uncorrected): -0.55 eV per atom
calculated volume: 17.71 A^3/atom
DOS(E_F): 1.59 states/eV/atom
space-group type: Ia-3d, No. 230

=====

DFT (PBE) results for an optimized crystal structure of Pu2Ni4S5.

abc: 15.648 15.648 15.648
angles: 13.72 13.72 13.72
Fractional coordinates of all 11 atoms:
1 Pu 0.129 0.129 0.129
2 Pu 0.871 0.871 0.871
3 Ni 0.317 0.317 0.317
4 Ni 0.414 0.414 0.414
5 Ni 0.586 0.586 0.586
6 Ni 0.683 0.683 0.683
7 S 0.240 0.240 0.240
8 S 0.366 0.366 0.366
9 S 0.500 0.500 0.500
10 S 0.634 0.634 0.634
11 S 0.760 0.760 0.760

Calculated values
E_form (uncorrected): -0.87 eV per atom
calculated volume: 17.05 A^3/atom
DOS(E_F): 1.76 states/eV/atom
space-group type: R-3m, No. 166

=====

DFT (PBE) results for an optimized crystal structure of Pu3NiS6.

abc: 8.477 8.477 6.233
angles: 90.00 90.00 102.11
Fractional coordinates of all 20 atoms:
1 Pu 0.112 0.888 0.500
2 Pu 0.220 0.429 0.569
3 Pu 0.429 0.220 0.069
4 Pu 0.571 0.780 0.569
5 Pu 0.780 0.571 0.069
6 Pu 0.888 0.112 0.000
7 Ni 0.306 0.694 0.148
8 Ni 0.694 0.306 0.648
9 S 0.065 0.598 0.292
10 S 0.138 0.186 0.283
11 S 0.186 0.138 0.783
12 S 0.283 0.717 0.785
13 S 0.402 0.935 0.292
14 S 0.465 0.535 0.272
15 S 0.535 0.465 0.772
16 S 0.598 0.065 0.792
17 S 0.717 0.283 0.285
18 S 0.814 0.862 0.283
19 S 0.862 0.814 0.783
20 S 0.935 0.402 0.792

Calculated values
E_form (uncorrected): -1.29 eV per atom
calculated volume: 21.90 A^3/atom
DOS(E_F): 2.73 states/eV/atom
space-group type: Cmc2_1, No. 36

=====

DFT (PBE) results for an optimized crystal structure of Pu2NiS6.

abc: 7.263 7.263 3.553
angles: 90.00 90.00 120.00
Fractional coordinates of all 9 atoms:
1 Pu 0.333 0.667 0.000
2 Pu 0.667 0.333 0.000
3 Ni 0.000 0.000 0.500
4 S 0.000 0.214 0.000
5 S 0.000 0.538 0.500
6 S 0.214 0.000 0.000
7 S 0.462 0.462 0.500
8 S 0.538 0.000 0.500
9 S 0.786 0.786 0.000

Calculated values
E_form (uncorrected): -0.83 eV per atom
calculated volume: 18.03 A^3/atom
DOS(E_F): 1.55 states/eV/atom
space-group type: P-62m, No. 189

=====

DFT (PBE) results for an optimized crystal structure of PuScNiS3.

abc: 7.598 3.653 8.021
angles: 90.00 102.24 90.00
Fractional coordinates of all 12 atoms:
1 Pu 0.170 0.250 0.231
2 Pu 0.830 0.750 0.769
3 Sc 0.332 0.750 0.830
4 Sc 0.668 0.250 0.170
5 Ni 0.093 0.250 0.590
6 Ni 0.907 0.750 0.410
7 S 0.101 0.250 0.868
8 S 0.227 0.750 0.503
9 S 0.425 0.750 0.166
10 S 0.575 0.250 0.834
11 S 0.773 0.250 0.497
12 S 0.899 0.750 0.132

Calculated values
E_form (uncorrected): -1.13 eV per atom
calculated volume: 18.13 A^3/atom
DOS(E_F): 1.65 states/eV/atom
space-group type: P2_1/m, No. 11

=====

DFT (PBE) results for an optimized crystal structure of SrPuNiS4.

abc: 6.570 5.681 8.249
angles: 90.00 106.73 90.00
Fractional coordinates of all 14 atoms:
1 Sr 0.231 0.250 0.435
2 Sr 0.769 0.750 0.565
3 Pu 0.245 0.250 0.941
4 Pu 0.755 0.750 0.059
5 Ni 0.266 0.750 0.176
6 Ni 0.734 0.250 0.824
7 S 0.066 0.750 0.355
8 S 0.077 0.750 0.912
9 S 0.483 0.513 0.767
10 S 0.483 0.987 0.767
11 S 0.517 0.013 0.233
12 S 0.517 0.487 0.233
13 S 0.923 0.250 0.088
14 S 0.934 0.250 0.645

Calculated values
E_form (uncorrected): -1.28 eV per atom
calculated volume: 21.06 A^3/atom
DOS(E_F): 1.34 states/eV/atom
space-group type: P2_1/m, No. 11

=====

DFT (PBE) results for an optimized crystal structure of Pu2TlNiS4.

abc: 7.154 7.154 13.501
angles: 90.00 90.00 148.02
Fractional coordinates of all 16 atoms:
1 Pu 0.134 0.866 0.559
2 Pu 0.134 0.866 0.941
3 Pu 0.866 0.134 0.059
4 Pu 0.866 0.134 0.441
5 Tl 0.399 0.601 0.750
6 Tl 0.601 0.399 0.250
7 Ni 0.331 0.669 0.250
8 Ni 0.669 0.331 0.750
9 S 0.082 0.918 0.750
10 S 0.241 0.759 0.111
11 S 0.241 0.759 0.389
12 S 0.500 0.500 0.000
13 S 0.500 0.500 0.500
14 S 0.759 0.241 0.611
15 S 0.759 0.241 0.889
16 S 0.918 0.082 0.250

Calculated values
E_form (uncorrected): -1.22 eV per atom
calculated volume: 22.87 A^3/atom
DOS(E_F): 1.93 states/eV/atom
space-group type: Cmcm, No. 63

=====

DFT (PBE) results for an optimized crystal structure of Pu3Tl4NiS8.

abc: 8.767 8.767 8.767
angles: 53.48 53.48 53.48
Fractional coordinates of all 16 atoms:
1 Pu 0.000 0.500 0.500
2 Pu 0.500 0.000 0.500
3 Pu 0.500 0.500 0.000
4 Tl 0.000 0.000 0.500
5 Tl 0.000 0.500 0.000
6 Tl 0.500 0.000 0.000
7 Tl 0.500 0.500 0.500
8 Ni 0.000 0.000 0.000
9 S 0.222 0.222 0.744
10 S 0.222 0.744 0.222
11 S 0.256 0.778 0.778
12 S 0.267 0.267 0.267
13 S 0.733 0.733 0.733
14 S 0.744 0.222 0.222
15 S 0.778 0.256 0.778
16 S 0.778 0.778 0.256

Calculated values
E_form (uncorrected): -0.93 eV per atom
calculated volume: 25.24 A^3/atom
DOS(E_F): 1.61 states/eV/atom
space-group type: R-3m, No. 166

=====

DFT (PBE) results for an optimized crystal structure of Pu3Tl3NiS8.

abc: 7.798 7.798 8.822
angles: 116.28 116.28 59.97
Fractional coordinates of all 15 atoms:
1 Pu 0.000 0.000 0.000
2 Pu 0.000 0.500 0.000
3 Pu 0.500 0.000 0.000
4 Tl 0.000 0.500 0.500
5 Tl 0.500 0.000 0.500
6 Tl 0.500 0.500 0.500
7 Ni 0.500 0.500 0.000
8 S 0.233 0.233 0.198
9 S 0.244 0.720 0.183
10 S 0.280 0.280 0.816
11 S 0.280 0.756 0.817
12 S 0.720 0.244 0.183
13 S 0.720 0.720 0.184
14 S 0.756 0.280 0.817
15 S 0.767 0.767 0.802

Calculated values
E_form (uncorrected): -0.95 eV per atom
calculated volume: 26.61 A^3/atom
DOS(E_F): 1.91 states/eV/atom
space-group type: C2/m, No. 12

=====

DFT (PBE) results for an optimized crystal structure of Pu2UNiS5.

abc: 8.272 8.272 11.812
angles: 90.00 90.00 153.69
Fractional coordinates of all 18 atoms:
1 Pu 0.113 0.887 0.500
2 Pu 0.116 0.884 0.848
3 Pu 0.884 0.116 0.348
4 Pu 0.887 0.113 0.000
5 U 0.182 0.818 0.175
6 U 0.818 0.182 0.675
7 Ni 0.445 0.555 0.568
8 Ni 0.555 0.445 0.068
9 S 0.020 0.980 0.162
10 S 0.304 0.696 0.838
11 S 0.312 0.688 0.512
12 S 0.347 0.653 0.171
13 S 0.494 0.506 0.901
14 S 0.506 0.494 0.401
15 S 0.653 0.347 0.671
16 S 0.688 0.312 0.012
17 S 0.696 0.304 0.338
18 S 0.980 0.020 0.662

Calculated values
E_form (uncorrected): -1.39 eV per atom
calculated volume: 19.90 A^3/atom
DOS(E_F): 2.32 states/eV/atom
space-group type: Cmc2_1, No. 36

=====

DFT (PBE) results for an optimized crystal structure of PuUNiS4.

abc: 6.316 5.807 7.589
angles: 90.00 106.77 90.00
Fractional coordinates of all 14 atoms:
1 Pu 0.248 0.250 0.438
2 Pu 0.752 0.750 0.562
3 U 0.255 0.250 0.941
4 U 0.745 0.750 0.059
5 Ni 0.264 0.750 0.183
6 Ni 0.736 0.250 0.817
7 S 0.066 0.750 0.380
8 S 0.069 0.750 0.894
9 S 0.480 0.513 0.751
10 S 0.480 0.987 0.751
11 S 0.520 0.013 0.249
12 S 0.520 0.487 0.249
13 S 0.931 0.250 0.106
14 S 0.934 0.250 0.620

Calculated values
E_form (uncorrected): -1.25 eV per atom
calculated volume: 19.03 A^3/atom
DOS(E_F): 2.10 states/eV/atom
space-group type: P2_1/m, No. 11

=====

DFT (PBE) results for an optimized crystal structure of PuNi3Sb.

abc: 6.624 6.624 6.624
angles: 133.56 83.36 115.25
Fractional coordinates of all 10 atoms:
1 Pu 0.337 0.087 0.250
2 Pu 0.663 0.913 0.750
3 Ni 0.127 0.000 0.627
4 Ni 0.127 0.500 0.127
5 Ni 0.239 0.489 0.750
6 Ni 0.761 0.511 0.250
7 Ni 0.873 0.000 0.373
8 Ni 0.873 0.500 0.873
9 Sb 0.000 0.500 0.500
10 Sb 0.500 0.500 0.000

Calculated values
E_form (uncorrected): -0.11 eV per atom
calculated volume: 18.33 A^3/atom
DOS(E_F): 2.82 states/eV/atom
space-group type: Imma, No. 74

=====

DFT (PBE) results for an optimized crystal structure of Pu2NiSb.

abc: 5.072 5.072 4.730
angles: 90.00 90.00 120.00
Fractional coordinates of all 4 atoms:
1 Pu 0.333 0.667 0.000
2 Pu 0.667 0.333 0.000
3 Ni 0.000 0.000 0.000
4 Sb 0.000 0.000 0.500

Calculated values
E_form (uncorrected): 0.04 eV per atom
calculated volume: 26.34 A^3/atom
DOS(E_F): 3.67 states/eV/atom
distance to the lowest polymorph of the same formula: 336 meV/atom
space-group type: P6/mmm, No. 191

=====

DFT (PBE) results for an optimized crystal structure of Pu3Ni8Sb.

abc: 8.703 8.703 8.703
angles: 33.51 33.51 33.51
Fractional coordinates of all 12 atoms:
1 Pu 0.000 0.000 0.000
2 Pu 0.125 0.125 0.125
3 Pu 0.626 0.626 0.626
4 Ni 0.063 0.063 0.563
5 Ni 0.063 0.563 0.063
6 Ni 0.064 0.562 0.562
7 Ni 0.312 0.312 0.312
8 Ni 0.562 0.064 0.562
9 Ni 0.562 0.562 0.064
10 Ni 0.563 0.063 0.063
11 Ni 0.812 0.812 0.812
12 Sb 0.501 0.501 0.501

Calculated values
E_form (uncorrected): -0.25 eV per atom
calculated volume: 14.91 A^3/atom
DOS(E_F): 2.85 states/eV/atom
space-group type: R3m, No. 160

=====

DFT (PBE) results for an optimized crystal structure of Pu2NiSb.

abc: 3.954 3.954 5.658
angles: 90.00 90.00 90.00
Fractional coordinates of all 4 atoms:
1 Pu 0.000 0.000 0.241
2 Pu 0.000 0.000 0.759
3 Ni 0.500 0.500 0.000
4 Sb 0.500 0.500 0.500

Calculated values
E_form (uncorrected): -0.29 eV per atom
calculated volume: 22.11 A^3/atom
DOS(E_F): 3.45 states/eV/atom
distance to the lowest polymorph of the same formula: 0 meV/atom
space-group type: P4/mmm, No. 123

=====

DFT (PBE) results for an optimized crystal structure of Pu3Ni6Sb5.

abc: 4.267 12.785 9.784
angles: 90.00 90.00 90.00
Fractional coordinates of all 28 atoms:
1 Pu 0.250 0.074 0.249
2 Pu 0.250 0.426 0.249
3 Pu 0.250 0.750 0.259
4 Pu 0.750 0.250 0.741
5 Pu 0.750 0.574 0.751
6 Pu 0.750 0.926 0.751
7 Ni 0.250 0.074 0.885
8 Ni 0.250 0.250 0.482
9 Ni 0.250 0.250 0.997
10 Ni 0.250 0.426 0.885
11 Ni 0.250 0.597 0.509
12 Ni 0.250 0.903 0.509
13 Ni 0.750 0.097 0.491
14 Ni 0.750 0.403 0.491
15 Ni 0.750 0.574 0.115
16 Ni 0.750 0.750 0.003
17 Ni 0.750 0.750 0.518
18 Ni 0.750 0.926 0.115
19 Sb 0.250 0.083 0.628
20 Sb 0.250 0.417 0.628
21 Sb 0.250 0.617 0.986
22 Sb 0.250 0.750 0.672
23 Sb 0.250 0.883 0.986
24 Sb 0.750 0.117 0.014
25 Sb 0.750 0.250 0.328
26 Sb 0.750 0.383 0.014
27 Sb 0.750 0.583 0.372
28 Sb 0.750 0.917 0.372

Calculated values
E_form (uncorrected): -0.44 eV per atom
calculated volume: 19.06 A^3/atom
DOS(E_F): 2.98 states/eV/atom
space-group type: Pmmn, No. 59